<a>
Material: La5Pr4Sm3
Method: DFT, PBE-GGA
State: optimized geometry

Lattice parameters (Å, degrees): 18.673 5.917 9.104 90.00 118.96 90.00
Space group C2/m (No. 12)
Unique sites:
La (0.000, 0.000, 0.000) [2 per cell]
La (0.105, 0.500, 0.427) [4 per cell]
La (0.167, 0.500, 0.902) [4 per cell]
Pr (0.032, 0.000, 0.706) [4 per cell]
Pr (0.200, 0.000, 0.648) [4 per cell]
Sm (0.000, 0.500, 0.000) [2 per cell]
Sm (0.182, 0.000, 0.224) [4 per cell]

Calculated values
The crystal system is monoclinic. For the total magnetic moment, the calculation gives 0.00 μB/f.u.



<b>
Material: La5Pr4Sm3
Method: DFT, PBE-GGA
State: optimized geometry

Lattice parameters (Å, degrees): 6.420 7.412 9.063 90.36 90.01 90.13
Space group P-1 (No. 2)
Unique sites:
La (0.000, 0.000, 0.000) [1 per cell]
La (0.166, 0.251, 0.669) [2 per cell]
La (0.334, 0.500, 0.332) [2 per cell]
Pr (0.167, 0.749, 0.668) [2 per cell]
Pr (0.336, 0.999, 0.331) [2 per cell]
Sm (0.000, 0.500, 0.000) [1 per cell]
Sm (0.499, 0.749, 0.000) [2 per cell]

Calculated values
The crystal system is triclinic. For the total magnetic moment, the calculation gives 0.00 μB/f.u.



Out of the structures above, which one is the most stable? Solution: <b>.